Entry 1:
# Cs2PaAg3I12 (GGA-PBE, relaxed)
data_Cs2PaAg3I12
_cell_length_a 10.5040
_cell_length_b 10.5040
_cell_length_c 31.6564
_cell_angle_alpha 90.00
_cell_angle_beta 90.00
_cell_angle_gamma 120.00
_symmetry_space_group_name_H-M 'R -3 m'
_symmetry_Int_Tables_number 166
_symmetry_space_group_name_Hall '-R 3 2"'
loop_
_atom_site_label
_atom_site_fract_x
_atom_site_fract_y
_atom_site_fract_z
_atom_site_occupancy
Cs1 0.0000 0.0000 0.0733 1
Pa1 0.0000 0.0000 0.5000 1
Ag1 0.0000 0.5000 0.0000 1
I1 0.0548 0.5274 0.3395 1
I2 0.0651 0.5325 0.1137 1
# E_tot, eV/atom: -2.828
# Formation energy from raw total energies, eV per atom: -0.6970

***

Entry 2:
# SmLu3 (GGA-PBE, relaxed)
data_SmLu3
_cell_length_a 4.9693
_cell_length_b 4.9693
_cell_length_c 9.8374
_cell_angle_alpha 90.00
_cell_angle_beta 90.00
_cell_angle_gamma 90.00
_symmetry_space_group_name_H-M 'I 4/m m m'
_symmetry_Int_Tables_number 139
_symmetry_space_group_name_Hall '-I 4 2'
loop_
_atom_site_label
_atom_site_fract_x
_atom_site_fract_y
_atom_site_fract_z
_atom_site_occupancy
Sm1 0.0000 0.0000 0.0000 1
Lu1 0.0000 0.0000 0.5000 1
Lu2 0.0000 0.5000 0.2500 1
# Energy of formation from the pure elements, eV per atom: 0.04
# E_tot, eV/atom: -4.535

***

Entry 3:
# SrAlSi6Pt2 (GGA-PBE, relaxed)
data_SrAlSi6Pt2
_cell_length_a 6.3533
_cell_length_b 6.3533
_cell_length_c 21.1238
_cell_angle_alpha 90.00
_cell_angle_beta 90.00
_cell_angle_gamma 120.00
_symmetry_space_group_name_H-M 'R -3 m'
_symmetry_Int_Tables_number 166
_symmetry_space_group_name_Hall '-R 3 2"'
loop_
_atom_site_label
_atom_site_fract_x
_atom_site_fract_y
_atom_site_fract_z
_atom_site_occupancy
Sr1 0.0000 0.0000 0.0000 1
Al1 0.0000 0.0000 0.5000 1
Si1 0.0689 0.5345 0.0691 1
Pt1 0.0000 0.0000 0.3044 1
# E_tot, eV/atom: -5.145
# Formation energy from raw total energies, eV per atom: -0.1405